(1)
Below is CaTe2N at its PBEsol-relaxed geometry, with properties calculated at the meta-GGA SCAN level.

As for the uncorrected formation energy: 0.15 eV/atom. The calculation puts the magnetization at 0.9 μB per formula unit. The density of states at the Fermi level comes out at 0.45 states/eV per atom.

The structure belongs to space group R-3m (No. 166, hexagonal axes); the cell edges are 4.9310, 4.9310 and 19.8132 Å and the angles 90.00°, 90.00° and 120.00°. The distinct sites, in fractional coordinates, are Ca at (0.0000, 0.0000, 0.0000), Te at (0.0000, 0.0000, 0.4022) and N at (0.0000, 0.0000, 0.5000).

(2)
Below is CaTeN3 at its PBEsol-relaxed geometry, with properties calculated at the meta-GGA SCAN level.

As for the uncorrected formation energy: 1.93 eV/atom. The calculation puts the magnetization at 4.4 μB per formula unit. The density of states at the Fermi level comes out at 0.79 states/eV per atom.

The structure belongs to space group Pm-3m (No. 221); the cell edges are 4.351, 4.351 and 4.351 Å and the angles 90.00°, 90.00° and 90.00°. The distinct sites, in fractional coordinates, are Ca at (0.000, 0.000, 0.000), Te at (0.500, 0.500, 0.500) and N at (0.000, 0.000, 0.500).

(3)
Below is CaTiN3 at its PBEsol-relaxed geometry, with properties calculated at the meta-GGA SCAN level.

As for the uncorrected formation energy: -0.55 eV/atom. The calculation puts the magnetization at 3.0 μB per formula unit. The density of states at the Fermi level comes out at 0.33 states/eV per atom.

The structure belongs to space group Pm-3m (No. 221); the cell edges are 3.933, 3.933 and 3.933 Å and the angles 90.00°, 90.00° and 90.00°. The distinct sites, in fractional coordinates, are Ca at (0.000, 0.000, 0.000), Ti at (0.500, 0.500, 0.500) and N at (0.000, 0.500, 0.500).

(4)
Below is Ca5Ti2N6 at its PBEsol-relaxed geometry, with properties calculated at the meta-GGA SCAN level.

As for the uncorrected formation energy: -1.39 eV/atom. The calculation puts the magnetization at 0.0 μB per formula unit. The density of states at the Fermi level comes out at 0.00 states/eV per atom.

The structure belongs to space group C2/c (No. 15); the cell edges are 10.198, 6.462 and 12.753 Å and the angles 90.00°, 103.70° and 90.00°. The distinct sites, in fractional coordinates, are Ca at (0.000, 0.163, 0.250), Ca at (0.027, 0.245, 0.007), Ca at (0.157, 0.348, 0.727), Ti at (0.226, 0.412, 0.432), N at (0.049, 0.490, 0.875), N at (0.142, 0.001, 0.142) and N at (0.210, 0.117, 0.413).

(5)
Below is Ca7TiN6 at its PBEsol-relaxed geometry, with properties calculated at the meta-GGA SCAN level.

As for the uncorrected formation energy: -1.21 eV/atom. The calculation puts the magnetization at 0.0 μB per formula unit. The density of states at the Fermi level comes out at 0.00 states/eV per atom.

The structure belongs to space group Ibam (No. 72); the cell edges are 6.263, 11.393 and 12.639 Å and the angles 90.00°, 90.00° and 90.00°. The distinct sites, in fractional coordinates, are Ca at (0.000, 0.000, 0.250), Ca at (0.127, 0.278, 0.126), Ca at (0.222, 0.045, 0.000), Ti at (0.000, 0.500, 0.250), N at (0.110, 0.157, 0.500) and N at (0.190, 0.394, 0.324).

(6)
Below is CaTiN2 at its PBEsol-relaxed geometry, with properties calculated at the meta-GGA SCAN level.

As for the uncorrected formation energy: -1.61 eV/atom. The calculation puts the magnetization at 0.0 μB per formula unit. The density of states at the Fermi level comes out at 0.00 states/eV per atom.

The structure belongs to space group Pbca (No. 61); the cell edges are 4.817, 9.776 and 17.252 Å and the angles 90.00°, 90.00° and 90.00°. The distinct sites, in fractional coordinates, are Ca at (0.244, 0.001, 0.063), Ca at (0.250, 0.247, 0.187), Ti at (0.208, 0.521, 0.812), Ti at (0.215, 0.230, 0.438), N at (0.178, 0.746, 0.049), N at (0.182, 0.000, 0.701), N at (0.239, 0.712, 0.827) and N at (0.249, 0.538, 0.424).